The following is a PBE-GGA calculation of a relaxed structure of ZnRe4Si, from Alexandria via LeMat-Bulk.

Computed properties:
Space-group type: F-43m (216)
Size of the total moment, μB/f.u.: 0.0
Uncorrected formation energy, meV per atom: 714

a b c (Å): 5.175 5.175 5.175
angles (deg): 60.00 60.00 60.00
Element x y z (fractional)
Zn (0.000, 0.000, 0.000)
Re (0.375, 0.875, 0.375)
Re (0.875, 0.375, 0.375)
Re (0.375, 0.375, 0.875)
Re (0.375, 0.375, 0.375)
Si (0.750, 0.750, 0.750)